Entry 1:
Compound: U2Si5Rh3
Source: Alexandria via LeMat-Bulk
Functional: PBE-GGA
Structure: relaxed

a b c (Å): 8.1129 8.1129 8.1129
angles (deg): 104.67 90.18 138.04
Element x y z (fractional)
U (0.1330, 0.2309, 0.3640)
U (0.3670, 0.7309, 0.0979)
U (0.6330, 0.2691, 0.9021)
U (0.8670, 0.7691, 0.6360)
Si (0.0272, 0.7500, 0.2772)
Si (0.1065, 0.6551, 0.7616)
Si (0.2500, 0.2500, 0.0000)
Si (0.3935, 0.1551, 0.5486)
Si (0.4728, 0.7500, 0.7228)
Si (0.5272, 0.2500, 0.2772)
Si (0.6065, 0.8449, 0.4514)
Si (0.7500, 0.7500, 0.0000)
Si (0.8935, 0.3449, 0.2384)
Si (0.9728, 0.2500, 0.7228)
Rh (0.1398, 0.8889, 0.0286)
Rh (0.2500, 0.7500, 0.5000)
Rh (0.3602, 0.3889, 0.7491)
Rh (0.6398, 0.6111, 0.2509)
Rh (0.7500, 0.2500, 0.5000)
Rh (0.8602, 0.1111, 0.9714)

Properties
Total magnetic moment = 3.93 μB/f.u.
E = -157.5 eV per cell

=====

Entry 2:
Compound: TlCo2Re
Source: Alexandria via LeMat-Bulk
Functional: PBE-GGA
Structure: relaxed

a b c (Å): 2.8930 2.8930 7.0894
angles (deg): 90.00 90.00 90.00
Element x y z (fractional)
Tl (0.0000, 0.0000, 0.0000)
Co (0.0000, 0.0000, 0.4707)
Co (0.5000, 0.5000, 0.2775)
Re (0.5000, 0.5000, 0.6771)

Properties
Total magnetic moment = 2.57 μB/f.u.
Distance to the lowest polymorph of the same formula = 0.75 eV per formula unit
ΔE_f = 574 meV per atom

=====

Entry 3:
Compound: Li2Mg4ZnAg2
Source: Alexandria via LeMat-Bulk
Functional: PBE-GGA
Structure: relaxed

a b c (Å): 5.4121 6.0341 6.0627
angles (deg): 104.74 90.92 113.29
Element x y z (fractional)
Li (0.2428, 0.3885, 0.3735)
Li (0.7572, 0.6115, 0.6265)
Mg (0.1957, 0.8640, 0.3710)
Mg (0.3161, 0.7323, 0.8395)
Mg (0.6839, 0.2677, 0.1605)
Mg (0.8043, 0.1360, 0.6290)
Zn (0.0000, 0.0000, 0.0000)
Ag (0.3647, 0.2703, 0.7859)
Ag (0.6353, 0.7297, 0.2141)

Properties
Total magnetic moment = 0.00 μB/f.u.
ΔE_f = -111 meV per atom

=====

Entry 4:
Compound: Ce2ZrGa6
Source: Alexandria via LeMat-Bulk
Functional: PBE-GGA
Structure: relaxed

a b c (Å): 6.1235 6.1235 5.8153
angles (deg): 90.00 90.00 120.00
Element x y z (fractional)
Ce (0.3333, 0.6667, 0.1604)
Ce (0.6667, 0.3333, 0.8396)
Zr (0.0000, 0.0000, 0.0000)
Ga (0.1839, 0.3679, 0.6635)
Ga (0.1839, 0.8161, 0.6635)
Ga (0.3679, 0.1839, 0.3365)
Ga (0.6321, 0.8161, 0.6635)
Ga (0.8161, 0.1839, 0.3365)
Ga (0.8161, 0.6321, 0.3365)

Properties
Total magnetic moment = 2.05 μB/f.u.
ΔE_f = -485 meV per atom